Here is crystalline MnAlTc2 at its relaxed geometry from Alexandria via LeMat-Bulk. Energies are from GGA-PBE.

## Properties
V in Å³/cell: 111
Formation enthalpy at 0 K in eV/atom: -0.092

```
data_MnAlTc2
_chemical_formula_sum 'Mn2 Al2 Tc4'
_space_group_name_H-M_alt 'I -4 m 2'
_space_group_IT_number 119
_space_group_name_Hall 'I -4 -2'
_cell_length_a 3.6936
_cell_length_b 3.6936
_cell_length_c 8.1348
_cell_angle_alpha 90.00
_cell_angle_beta 90.00
_cell_angle_gamma 90.00
loop_
_atom_site_label
_atom_site_type_symbol
_atom_site_fract_x
_atom_site_fract_y
_atom_site_fract_z
Mn1 Mn 0.0000 0.0000 0.0000
Al1 Al 0.0000 0.5000 0.2500
Tc1 Tc 0.0000 0.0000 0.5000
Tc2 Tc 0.0000 0.5000 0.7500
```